Here is a relaxed structure of BeZn3 from Alexandria via LeMat-Bulk. Energies are from PBE-GGA.

Structure (POSCAR):
```
BeZn3
1.0
8.4859 0.0000 0.0000
-4.2429 7.3490 0.0000
0.0000 0.0000 2.5899
Be Zn
3 9
Cartesian
0.0000 0.0000 0.0000 Be
0.0000 4.8993 1.7266 Be
4.2429 2.4497 0.8633 Be
-2.1215 3.6745 0.0000 Zn
0.0000 2.4497 0.8633 Zn
-2.1215 6.1241 0.8633 Zn
2.1215 1.2248 1.7266 Zn
4.2429 0.0000 0.0000 Zn
2.1215 3.6745 0.0000 Zn
2.1215 6.1241 0.8633 Zn
6.3644 1.2248 1.7266 Zn
4.2429 4.8993 1.7266 Zn
```

Output
**SG**: R-3m (166)
**Calculated total energy**: -1.633 eV/atom
**Magnetization**: 0.0 μB/cell
**DOS at the Fermi energy**: 3.6 states/eV/cell

***

Here is a relaxed structure of Be2Zn from Alexandria via LeMat-Bulk. Energies are from PBE-GGA.

Structure (POSCAR):
```
Be2Zn
1.0
5.5468 0.0000 0.0000
0.0000 5.5468 0.0000
0.0000 0.0000 4.5059
Be Zn
8 4
Cartesian
0.7948 1.9786 0.0000 Be
0.7948 3.5682 2.2529 Be
1.9786 0.7948 2.2529 Be
1.9786 4.7520 0.0000 Be
3.5682 0.7948 0.0000 Be
3.5682 4.7520 2.2529 Be
4.7520 1.9786 2.2529 Be
4.7520 3.5682 0.0000 Be
0.0000 0.0000 1.1265 Zn
0.0000 0.0000 3.3794 Zn
2.7734 2.7734 1.1265 Zn
2.7734 2.7734 3.3794 Zn
```

Output
**SG**: I4/mcm (140)
**Energy above the most stable polymorph in this dataset**: 456 meV/atom
**Calculated total energy**: -2.390 eV/atom
**Magnetization**: 0.0 μB/cell
**DOS at the Fermi energy**: 3.2 states/eV/cell

***

magnetization of number 2 (Be2Zn)?
0.0 μB/cell

***

Among the records above, which one has the highest calculated total energy?
BeZn3

***

The highest calculated total energy belongs to which entry?
BeZn3